Record 1
Below is an optimized crystal structure of FeIr2Os, with properties calculated at the GGA-PBE level.

Summary:
space-group type = Cmmm (65)
formation energy from the elements = 0.3276 eV/atom

Cell lengths 2.697, 2.697, 9.079 Å; angles 90.00, 90.00, 119.27 degrees
Last column: magnetic moment on the atom in μB.
Sites, in units of the cell vectors:
Ir1 0.000 0.000 0.509  0.30
Ir2 0.000 0.000 0.991  0.30
Os1 0.500 0.500 0.250  0.37
Fe1 0.500 0.500 0.750  2.84

Record 2
Below is an optimized crystal structure of Fe2IrOs2, with properties calculated at the GGA-PBE level.

Summary:
space-group type = P4/mbm (127)
formation energy from the elements = 0.3638 eV/atom

Cell lengths 7.087, 7.087, 2.683 Å; angles 90.00, 90.00, 90.00 degrees
Last column: magnetic moment on the atom in μB.
Sites, in units of the cell vectors:
Os1 0.872 0.628 0.000  -0.14
Os2 0.128 0.372 0.000  -0.14
Os3 0.372 0.872 0.000  -0.11
Os4 0.628 0.128 0.000  -0.11
Fe1 0.168 0.668 0.500  0.99
Fe2 0.668 0.832 0.500  0.98
Fe3 0.332 0.168 0.500  0.98
Fe4 0.832 0.332 0.500  0.99
Ir1 0.000 0.000 0.000  0.17
Ir2 0.500 0.500 0.000  0.17

Record 3
Below is an optimized crystal structure of FeIr3Os, with properties calculated at the GGA-PBE level.

Summary:
space-group type = P2_1/m (11)
formation energy from the elements = -0.0034 eV/atom

Cell lengths 3.822, 6.061, 6.032 Å; angles 90.22, 90.00, 90.00 degrees
Last column: magnetic moment on the atom in μB.
Sites, in units of the cell vectors:
Os1 0.750 0.451 0.145  -0.13
Os2 0.250 0.549 0.855  -0.13
Ir1 0.250 0.154 0.046  0.02
Ir2 0.250 0.353 0.453  0.03
Ir3 0.750 0.050 0.352  0.02
Ir4 0.250 0.950 0.648  0.02
Ir5 0.750 0.647 0.547  0.03
Ir6 0.750 0.846 0.954  0.02
Fe1 0.750 0.253 0.751  2.27
Fe2 0.250 0.747 0.249  2.27

Record 4
Below is an optimized crystal structure of FeIr3Os, with properties calculated at the GGA-PBE level.

Summary:
space-group type = Pm-3m (221)
formation energy from the elements = 1.8255 eV/atom

Cell lengths 4.365, 4.365, 4.365 Å; angles 90.00, 90.00, 90.00 degrees
Sites, in units of the cell vectors:
Ir1 0.000 0.500 0.000
Ir2 0.500 0.000 0.000
Ir3 0.000 0.000 0.500
Os1 0.500 0.500 0.500
Fe1 0.000 0.000 0.000

Record 5
Below is an optimized crystal structure of Fe2Ir3Os, with properties calculated at the GGA-PBE level.

Summary:
space-group type = P4/mmm (123)
formation energy from the elements = -0.0140 eV/atom

Cell lengths 2.713, 2.713, 11.166 Å; angles 90.00, 90.00, 90.00 degrees
Last column: magnetic moment on the atom in μB.
Sites, in units of the cell vectors:
Os1 0.500 0.500 0.500  -0.05
Fe1 0.500 0.500 0.838  2.51
Fe2 0.500 0.500 0.162  2.51
Ir1 0.000 0.000 0.671  0.08
Ir2 0.000 0.000 0.329  0.08
Ir3 0.000 0.000 0.000  0.06

Record 6
Below is an optimized crystal structure of FeIr2Os, with properties calculated at the GGA-PBE level.

Summary:
space-group type = Pmm2 (25)
formation energy from the elements = -0.0270 eV/atom

Cell lengths 4.309, 2.726, 4.717 Å; angles 90.00, 90.00, 90.00 degrees
Last column: magnetic moment on the atom in μB.
Sites, in units of the cell vectors:
Ir1 0.000 0.125 0.952  0.05
Ir2 0.500 0.125 0.297  0.02
Os1 0.000 0.625 0.464  -0.07
Fe1 0.500 0.625 0.787  2.35

Record 7
Below is an optimized crystal structure of Fe3Ir12Os, with properties calculated at the GGA-PBE level.

Summary:
space-group type = P4/mmm (123)
formation energy from the elements = -0.0464 eV/atom

Cell lengths 3.836, 3.836, 15.344 Å; angles 90.00, 90.00, 90.00 degrees
Last column: magnetic moment on the atom in μB.
Sites, in units of the cell vectors:
Ir1 0.500 0.500 0.251  0.07
Ir2 0.500 0.000 0.125  0.06
Ir3 0.500 0.500 0.000  -0.03
Ir4 0.500 0.500 0.749  0.07
Ir5 0.500 0.500 0.500  -0.07
Ir6 0.500 0.000 0.875  0.06
Ir7 0.000 0.500 0.875  0.06
Ir8 0.000 0.500 0.625  0.04
Ir9 0.000 0.500 0.125  0.06
Ir10 0.000 0.500 0.375  0.04
Ir11 0.500 0.000 0.375  0.04
Ir12 0.500 0.000 0.625  0.04
Fe1 0.000 0.000 0.500  -2.61
Fe2 0.000 0.000 0.745  2.66
Fe3 0.000 0.000 0.255  2.66
Os1 0.000 0.000 0.000  -0.12

Record 8
Below is an optimized crystal structure of FeIr2Os, with properties calculated at the GGA-PBE level.

Summary:
space-group type = Cmm2 (35)
formation energy from the elements = 0.3288 eV/atom

Cell lengths 2.696, 2.696, 9.054 Å; angles 90.00, 90.00, 119.29 degrees
Last column: magnetic moment on the atom in μB.
Sites, in units of the cell vectors:
Ir1 0.500 0.500 0.253  0.07
Ir2 0.000 0.000 0.988  0.34
Fe1 0.500 0.500 0.750  2.70
Os1 0.000 0.000 0.509  0.27